# 1
Crystalline U2Se2N at its relaxed geometry. Source: Alexandria, functional PBE-GGA.

Cell lengths 5.671, 7.125, 7.125 Å; angles 55.89, 66.55, 66.55 degrees
Site moments in Bohr magnetons follow the coordinates.
Element x y z (fractional)
1 Se 0.853 0.996 0.297  -0.07
2 Se 0.353 0.297 0.996  -0.07
3 Se 0.647 0.703 0.004  -0.07
4 Se 0.147 0.004 0.703  -0.07
5 N 0.250 0.500 0.500  -0.12
6 N 0.750 0.500 0.500  -0.12
7 U 0.599 0.196 0.606  2.28
8 U 0.099 0.606 0.196  2.28
9 U 0.401 0.804 0.394  2.28
10 U 0.901 0.394 0.804  2.28

Summary:
- M_tot (μB per atom) = 0.96
- ΔE_f (raw) (eV/atom) = -1.27
- ΔE to the lowest computed polymorph (meV per atom) = 0

# 2
Crystalline YUSe2N at its relaxed geometry. Source: Alexandria, functional PBE-GGA.

Cell lengths 3.920, 3.920, 14.532 Å; angles 90.00, 90.00, 90.00 degrees
Site moments in Bohr magnetons follow the coordinates.
Element x y z (fractional)
1 N 0.000 0.000 0.500  -0.11
2 N 0.500 0.500 0.500  -0.11
3 U 0.500 0.000 0.579  1.74
4 U 0.000 0.500 0.421  1.74
5 Y 0.500 0.000 0.123  0.01
6 Y 0.000 0.500 0.877  0.01
7 Se 0.000 0.500 0.688  -0.04
8 Se 0.500 0.000 0.911  0.00
9 Se 0.000 0.500 0.089  0.00
10 Se 0.500 0.000 0.312  -0.04

Summary:
- M_tot (μB per atom) = 0.34
- ΔE_f (raw) (eV/atom) = -1.62

# 3
Crystalline ZrUSeN2 at its relaxed geometry. Source: Alexandria, functional PBE-GGA.

Cell lengths 3.935, 6.421, 7.487 Å; angles 108.90, 90.00, 90.00 degrees
Site moments in Bohr magnetons follow the coordinates.
Element x y z (fractional)
1 N 0.250 0.495 0.624  -0.03
2 N 0.250 0.474 0.116  -0.08
3 N 0.750 0.505 0.376  -0.03
4 N 0.750 0.526 0.884  -0.08
5 U 0.750 0.310 0.071  1.82
6 U 0.250 0.690 0.929  1.82
7 Se 0.250 0.042 0.738  -0.03
8 Se 0.750 0.958 0.262  -0.03
9 Zr 0.250 0.658 0.417  0.08
10 Zr 0.750 0.342 0.583  0.08

Summary:
- M_tot (μB per atom) = 0.40
- ΔE_f (raw) (eV/atom) = -1.45

# 4
Crystalline VSe2N at its relaxed geometry. Source: Alexandria, functional PBE-GGA.

Cell lengths 6.803, 6.803, 6.803 Å; angles 29.59, 29.59, 29.59 degrees
Element x y z (fractional)
1 Se 0.091 0.091 0.091
2 Se 0.909 0.909 0.909
3 N 0.000 0.000 0.000
4 V 0.500 0.500 0.500

Summary:
- M_tot (μB per atom) = 0.00
- ΔE_f (raw) (eV/atom) = 0.49